Here is a relaxed NaSmP2Pd5 crystal from Alexandria. Energies are from PBE-GGA.

Output
- magnetic moment (μB/f.u.) = 0.000
- ΔE_f (kJ/mol of formula units) = -590
- V (Å³ per atom) = 16.66
- raw total energy (hartree per atom) = -0.1998

The structure in POSCAR format:
```
NaSmP2Pd5
1.0
4.2030 0.0000 0.0000
0.0000 4.2030 0.0000
0.0000 0.0000 8.4889
Na Sm P Pd
1 1 2 5
direct
0.0000 0.0000 0.0000 Na
0.0000 0.0000 0.5000 Sm
0.5000 0.5000 0.3685 P
0.5000 0.5000 0.6315 P
0.0000 0.5000 0.2329 Pd
0.0000 0.5000 0.7671 Pd
0.5000 0.0000 0.2329 Pd
0.5000 0.0000 0.7671 Pd
0.5000 0.5000 0.0000 Pd
```


Here is a relaxed Tb3Tm12Th crystal from Alexandria. Energies are from PBE-GGA.

Output
- magnetic moment (μB/f.u.) = 0.000
- ΔE_f (kJ/mol of formula units) = 42
- V (Å³ per atom) = 30.54
- raw total energy (hartree per atom) = -0.1712

The structure in POSCAR format:
```
Tb3Tm12Th
1.0
4.9641 0.0000 0.0000
0.0000 4.9641 0.0000
0.0000 0.0000 19.8281
Tb Tm Th
3 12 1
direct
0.0000 0.0000 0.0000 Tb
0.0000 0.0000 0.2504 Tb
0.0000 0.0000 0.7496 Tb
0.0000 0.5000 0.1252 Tm
0.0000 0.5000 0.3759 Tm
0.0000 0.5000 0.6241 Tm
0.0000 0.5000 0.8748 Tm
0.5000 0.0000 0.1252 Tm
0.5000 0.0000 0.3759 Tm
0.5000 0.0000 0.6241 Tm
0.5000 0.0000 0.8748 Tm
0.5000 0.5000 0.0000 Tm
0.5000 0.5000 0.2491 Tm
0.5000 0.5000 0.5000 Tm
0.5000 0.5000 0.7509 Tm
0.0000 0.0000 0.5000 Th
```


Here is a relaxed Sm4CoTe2 crystal from Alexandria. Energies are from PBE-GGA.

Output
- magnetic moment (μB/f.u.) = 0.000
- E_form (uncorrected) (eV/atom) = -0.688
- V (Å³ per atom) = 33.73
- raw total energy (hartree per atom) = -0.1947

The structure in POSCAR format:
```
Sm4CoTe2
1.0
7.9693 0.0000 0.0000
0.0000 4.0433 0.0000
-3.3060 0.0000 7.3280
Sm Co Te
4 1 2
direct
0.0736 0.0000 0.3182 Sm
0.3478 0.5000 0.7679 Sm
0.6522 0.5000 0.2321 Sm
0.9264 0.0000 0.6818 Sm
0.0000 0.5000 0.5000 Co
0.2957 0.0000 0.0631 Te
0.7043 0.0000 0.9369 Te
```


Here is a relaxed Mg3ZnSn crystal from Alexandria. Energies are from PBE-GGA.

Output
- magnetic moment (μB/f.u.) = 0.000
- ΔE_f (kJ/mol of formula units) = -25
- energy above the most stable polymorph in this dataset (meV/atom) = 0
- V (Å³ per atom) = 22.22
- raw total energy (hartree per atom) = -0.0759

The structure in POSCAR format:
```
Mg3ZnSn
1.0
6.1394 -5.3453 0.0000
6.1394 5.3453 0.0000
-0.8771 0.0000 6.7706
Mg Zn Sn
12 4 4
direct
0.0899 0.1564 0.0879 Mg
0.1564 0.0899 0.5879 Mg
0.1599 0.4930 0.9073 Mg
0.1754 0.4340 0.3957 Mg
0.4340 0.1754 0.8957 Mg
0.4930 0.1599 0.4073 Mg
0.5070 0.8401 0.5927 Mg
0.5660 0.8246 0.1043 Mg
0.8246 0.5660 0.6043 Mg
0.8401 0.5070 0.0927 Mg
0.8436 0.9101 0.4121 Mg
0.9101 0.8436 0.9121 Mg
0.1151 0.7286 0.6145 Zn
0.2714 0.8849 0.8855 Zn
0.7286 0.1151 0.1145 Zn
0.8849 0.2714 0.3855 Zn
0.2089 0.7911 0.2500 Sn
0.4839 0.5161 0.7500 Sn
0.5161 0.4839 0.2500 Sn
0.7911 0.2089 0.7500 Sn
```


Here is a relaxed Re2TeSe crystal from Alexandria. Energies are from PBE-GGA.

Output
- magnetic moment (μB/f.u.) = 0.000
- E_form (uncorrected) (eV/atom) = 1.107
- energy above the most stable polymorph in this dataset (meV/atom) = 882
- V (Å³ per atom) = 17.77
- raw total energy (hartree per atom) = -0.2489

The structure in POSCAR format:
```
Re2TeSe
1.0
3.0441 0.0000 0.0000
0.0000 4.7661 0.0000
0.0000 0.0000 9.7978
Re Te Se
4 2 2
direct
0.0000 0.0000 0.2143 Re
0.0000 0.0000 0.7857 Re
0.5000 0.5000 0.2857 Re
0.5000 0.5000 0.7143 Re
0.0000 0.5000 0.0000 Te
0.5000 0.0000 0.5000 Te
0.0000 0.5000 0.5000 Se
0.5000 0.0000 0.0000 Se
```


Here is a relaxed Mg2Tl2Pt crystal from Alexandria. Energies are from PBE-GGA.

Output
- magnetic moment (μB/f.u.) = 0.000
- ΔE_f (kJ/mol of formula units) = -49
- energy above the most stable polymorph in this dataset (meV/atom) = 0
- V (Å³ per atom) = 23.48
- raw total energy (hartree per atom) = -0.1064

The structure in POSCAR format:
```
Mg2Tl2Pt
1.0
6.9656 0.0000 0.0000
0.0000 6.9656 0.0000
0.0000 0.0000 4.8391
Mg Tl Pt
4 4 2
direct
0.1576 0.3424 0.0000 Mg
0.3424 0.8424 0.0000 Mg
0.6576 0.1576 0.0000 Mg
0.8424 0.6576 0.0000 Mg
0.1666 0.6666 0.5000 Tl
0.3334 0.1666 0.5000 Tl
0.6666 0.8334 0.5000 Tl
0.8334 0.3334 0.5000 Tl
0.0000 0.0000 0.0000 Pt
0.5000 0.5000 0.0000 Pt
```